<i>
Below is a geometry-optimized Cd3PtSe structure, with properties calculated at the PBE-GGA level.

Output
The value obtained for the mass density is 7.21 g/cm³.

Unit cell a=5.2015 b=5.2015 c=5.2015 alpha=90.00 beta=90.00 gamma=90.00
With the nearest neighbours (Å) after each atom.
Space group Pm-3m (No. 221)
Inequivalent atoms, fractional coordinates:
1 Cd 0.0000 0.0000 0.5000  2 Se 2.60
2 Pt 0.5000 0.5000 0.5000  12 Cd 3.68
3 Se 0.0000 0.0000 0.0000  6 Cd 2.60


<ii>
Below is a geometry-optimized Cd3PtSe structure, with properties calculated at the PBE-GGA level.

Output
The value obtained for the mass density is 7.28 g/cm³.

Unit cell a=5.1863 b=5.1863 c=5.1863 alpha=90.00 beta=90.00 gamma=90.00
With the nearest neighbours (Å) after each atom.
Space group Pm-3m (No. 221)
Inequivalent atoms, fractional coordinates:
1 Cd 0.0000 0.0000 0.5000  2 Pt 2.59
2 Pt 0.0000 0.0000 0.0000  6 Cd 2.59
3 Se 0.5000 0.5000 0.5000  12 Cd 3.67


Computed relative energies in units of eV/atom: <i> 0.547; <ii> 0.000


<i>
Below is a geometry-optimized CdSiPt4 structure, with properties calculated at the PBE-GGA level.

Output
The value obtained for the mass density is 14.05 g/cm³.

Unit cell a=3.9056 b=3.9056 c=7.1346 alpha=90.00 beta=90.00 gamma=90.00
With the nearest neighbours (Å) after each atom.
Space group P4/mmm (No. 123)
Inequivalent atoms, fractional coordinates:
1 Cd 0.0000 0.0000 0.0000  8 Pt 2.85
2 Si 0.5000 0.5000 0.5000  8 Pt 2.46
3 Pt 0.0000 0.5000 0.2908  2 Si 2.46


<ii>
Below is a geometry-optimized CdSiPt4 structure, with properties calculated at the PBE-GGA level.

Output
The value obtained for the mass density is 14.35 g/cm³.

Unit cell a=7.5251 b=7.5251 c=7.5251 alpha=90.00 beta=90.00 gamma=90.00
With the nearest neighbours (Å) after each atom.
Space group F-43m (No. 216)
Inequivalent atoms, fractional coordinates:
1 Cd 0.0000 0.0000 0.0000  12 Pt 3.12, 4 Si 3.26
2 Si 0.2500 0.2500 0.7500  12 Pt 3.12, 4 Cd 3.26
3 Pt 0.1249 0.1249 0.3751  6 Pt 2.66


Computed relative energies in units of eV/atom: <i> 0.000; <ii> 0.446


<i>
Below is a geometry-optimized Sm2CdPt structure, with properties calculated at the PBE-GGA level.

Output
The value obtained for the mass density is 10.04 g/cm³.

Unit cell a=7.2965 b=3.6743 c=7.5045 alpha=90.00 beta=90.00 gamma=90.00
With the nearest neighbours (Å) after each atom.
Space group Pmma (No. 51)
Inequivalent atoms, fractional coordinates:
1 Sm 0.0066 0.0000 0.2244  4 Pt 2.99-3.20, 2 Cd 3.28
2 Cd 0.2500 0.5000 0.5142  8 Sm 3.28-3.36, 1 Pt 3.40, 2 Cd 3.65
3 Pt 0.2500 0.5000 0.9671  8 Sm 2.99-3.20


<ii>
Below is a geometry-optimized Sm2CdPt structure, with properties calculated at the PBE-GGA level.

Output
The value obtained for the mass density is 8.61 g/cm³.

Unit cell a=4.1991 b=4.1991 c=23.0514 alpha=90.00 beta=90.00 gamma=120.00
With the nearest neighbours (Å) after each atom.
Space group R3m (No. 160, hexagonal axes)
Inequivalent atoms, fractional coordinates:
1 Sm 0.0000 0.0000 0.0000  3 Pt 2.86
2 Sm 0.0000 0.0000 0.1994  3 Pt 2.89
3 Cd 0.0000 0.0000 0.7653  6 Sm 3.32-3.36
4 Pt 0.0000 0.0000 0.6010  6 Sm 2.86-2.89


Computed relative energies in units of eV/atom: <i> 0.000; <ii> 0.099


<i>
Below is a geometry-optimized Sm2CdPt structure, with properties calculated at the PBE-GGA level.

Output
The value obtained for the mass density is 10.04 g/cm³.

Unit cell a=3.6652 b=3.6652 c=7.4848 alpha=90.00 beta=90.00 gamma=90.00
With the nearest neighbours (Å) after each atom.
Space group P4/mmm (No. 123)
Inequivalent atoms, fractional coordinates:
1 Sm 0.0000 0.0000 0.2240  4 Pt 3.09, 4 Cd 3.31, 1 Sm 3.35
2 Cd 0.5000 0.5000 0.5000  8 Sm 3.31, 4 Cd 3.67
3 Pt 0.5000 0.5000 0.0000  8 Sm 3.09


<ii>
Below is a geometry-optimized Sm2CdPt structure, with properties calculated at the PBE-GGA level.

Output
The value obtained for the mass density is 8.67 g/cm³.

Unit cell a=4.1100 b=4.1100 c=23.8899 alpha=90.00 beta=90.00 gamma=120.00
With the nearest neighbours (Å) after each atom.
Space group R-3m (No. 166, hexagonal axes)
Inequivalent atoms, fractional coordinates:
1 Sm 0.0000 0.0000 0.2342  3 Pt 2.87
2 Cd 0.0000 0.0000 0.0000  6 Sm 3.35
3 Pt 0.0000 0.0000 0.5000  6 Sm 2.87


Computed relative energies in units of eV/atom: <i> 0.000; <ii> 0.090


<i>
Below is a geometry-optimized Sm2Cd3Pt2 structure, with properties calculated at the PBE-GGA level.

Output
The value obtained for the mass density is 10.53 g/cm³.

Unit cell a=10.3925 b=4.0376 c=7.7590 alpha=90.00 beta=95.08 gamma=90.00
With the nearest neighbours (Å) after each atom.
Space group C2/m (No. 12)
Inequivalent atoms, fractional coordinates:
1 Sm 0.1227 0.0000 0.3530  5 Pt 2.93-3.04
2 Cd 0.0000 0.5000 0.0000  6 Cd 3.05-3.29, 2 Pt 3.06
3 Cd 0.1899 0.0000 0.8724  2 Pt 2.84, 4 Cd 3.02-3.05
4 Pt 0.0950 0.5000 0.6378  1 Pt 2.78, 3 Cd 2.84-3.06, 5 Sm 2.93-3.04


<ii>
Below is a geometry-optimized Sm2Cd3Pt2 structure, with properties calculated at the PBE-GGA level.

Output
The value obtained for the mass density is 10.72 g/cm³.

Unit cell a=10.0269 b=4.4839 c=7.5296 alpha=90.00 beta=109.84 gamma=90.00
With the nearest neighbours (Å) after each atom.
Space group C2/m (No. 12)
Inequivalent atoms, fractional coordinates:
1 Sm 0.1410 0.0000 0.2862  4 Pt 2.98-3.06, 1 Cd 3.31
2 Cd 0.0000 0.5000 0.5000  4 Pt 2.85, 2 Cd 3.12
3 Cd 0.1276 0.5000 0.9402  3 Pt 2.85-2.99, 2 Cd 2.99-3.12
4 Pt 0.1593 0.0000 0.6949  5 Cd 2.85-2.99, 4 Sm 2.98-3.06


Computed relative energies in units of eV/atom: <i> 0.027; <ii> 0.000


<i>
Below is a geometry-optimized Cd2Sn2Pt structure, with properties calculated at the PBE-GGA level.

Output
The value obtained for the mass density is 9.00 g/cm³.

Unit cell a=6.9917 b=6.9917 c=4.9647 alpha=90.00 beta=90.00 gamma=90.00
With the nearest neighbours (Å) after each atom.
Space group P4/mbm (No. 127)
Inequivalent atoms, fractional coordinates:
1 Cd 0.1679 0.3321 0.0000  6 Sn 3.06-3.34, 1 Cd 3.32
2 Sn 0.1508 0.6508 0.5000  2 Pt 2.66
3 Pt 0.0000 0.0000 0.5000  4 Sn 2.66


<ii>
Below is a geometry-optimized Cd2Sn2Pt structure, with properties calculated at the PBE-GGA level.

Output
The value obtained for the mass density is 8.80 g/cm³.

Unit cell a=3.9838 b=3.9838 c=15.6266 alpha=90.00 beta=90.00 gamma=90.00
With the nearest neighbours (Å) after each atom.
Space group I4/mmm (No. 139)
Inequivalent atoms, fractional coordinates:
1 Cd 0.0000 0.0000 0.0859  1 Cd 2.69
2 Sn 0.0000 0.5000 0.2500  4 Sn 2.82
3 Pt 0.0000 0.0000 0.5000  8 Cd 3.12


<iii>
Below is a geometry-optimized Cd2Sn2Pt structure, with properties calculated at the PBE-GGA level.

Output
The value obtained for the mass density is 9.28 g/cm³.

Unit cell a=7.2132 b=7.2132 c=4.5200 alpha=90.00 beta=90.00 gamma=90.00
With the nearest neighbours (Å) after each atom.
Space group P4/mbm (No. 127)
Inequivalent atoms, fractional coordinates:
1 Cd 0.1433 0.3567 0.0000  2 Pt 2.77, 1 Cd 2.92, 2 Sn 2.95
2 Sn 0.1702 0.6702 0.5000  6 Cd 2.95-3.20
3 Pt 0.0000 0.0000 0.0000  4 Cd 2.77


Computed relative energies in units of eV/atom: <i> 0.000; <ii> 0.386; <iii> 0.147


<i>
Below is a geometry-optimized CdSn3Pt structure, with properties calculated at the PBE-GGA level.

Output
The value obtained for the mass density is 7.51 g/cm³.

Unit cell a=5.2743 b=5.2743 c=5.2743 alpha=90.00 beta=90.00 gamma=90.00
With the nearest neighbours (Å) after each atom.
Space group Pm-3m (No. 221)
Inequivalent atoms, fractional coordinates:
1 Cd 0.0000 0.0000 0.0000  12 Sn 3.73
2 Sn 0.0000 0.5000 0.5000  2 Pt 2.64
3 Pt 0.5000 0.5000 0.5000  6 Sn 2.64


<ii>
Below is a geometry-optimized CdSn3Pt structure, with properties calculated at the PBE-GGA level.

Output
The value obtained for the mass density is 8.92 g/cm³.

Unit cell a=10.7050 b=8.6470 c=6.5937 alpha=90.00 beta=125.94 gamma=90.00
With the nearest neighbours (Å) after each atom.
Space group C2/m (No. 12)
Inequivalent atoms, fractional coordinates:
1 Cd 0.0502 0.0000 0.2570  2 Pt 2.80-2.88, 1 Cd 2.89, 2 Sn 3.07
2 Sn 0.0722 0.5000 0.3292  2 Pt 2.72-2.90
3 Sn 0.2087 0.1961 0.7354  2 Pt 2.73-2.86
4 Pt 0.2339 0.5000 0.8689  6 Sn 2.72-2.90, 2 Cd 2.80-2.88


Computed relative energies in units of eV/atom: <i> 0.308; <ii> 0.000


<i>
Below is a geometry-optimized SrCdPt3 structure, with properties calculated at the PBE-GGA level.

Output
The value obtained for the mass density is 9.17 g/cm³.

Unit cell a=5.2203 b=5.2203 c=5.2203 alpha=90.00 beta=90.00 gamma=90.00
With the nearest neighbours (Å) after each atom.
Space group Pm-3m (No. 221)
Inequivalent atoms, fractional coordinates:
1 Sr 0.0000 0.0000 0.0000  6 Pt 2.61
2 Cd 0.5000 0.5000 0.5000  12 Pt 3.69
3 Pt 0.0000 0.0000 0.5000  2 Sr 2.61


<ii>
Below is a geometry-optimized SrCdPt3 structure, with properties calculated at the PBE-GGA level.

Output
The value obtained for the mass density is 10.22 g/cm³.

Unit cell a=5.0347 b=5.0347 c=5.0347 alpha=90.00 beta=90.00 gamma=90.00
With the nearest neighbours (Å) after each atom.
Space group Pm-3m (No. 221)
Inequivalent atoms, fractional coordinates:
1 Sr 0.0000 0.0000 0.0000  12 Pt 3.56
2 Cd 0.5000 0.5000 0.5000  6 Pt 2.52
3 Pt 0.0000 0.5000 0.5000  2 Cd 2.52


Computed relative energies in units of eV/atom: <i> 1.012; <ii> 0.000


<i>
Below is a geometry-optimized Sr2Cd2Pt structure, with properties calculated at the PBE-GGA level.

Output
The value obtained for the mass density is 6.90 g/cm³.

Unit cell a=7.4856 b=7.4856 c=5.1101 alpha=90.00 beta=90.00 gamma=90.00
With the nearest neighbours (Å) after each atom.
Space group P4/mbm (No. 127)
Inequivalent atoms, fractional coordinates:
1 Sr 0.1817 0.3183 0.0000  6 Cd 3.21-3.50
2 Cd 0.1355 0.6355 0.5000  1 Cd 2.87, 2 Pt 2.91, 2 Sr 3.21
3 Pt 0.0000 0.0000 0.5000  4 Cd 2.91


<ii>
Below is a geometry-optimized Sr2Cd2Pt structure, with properties calculated at the PBE-GGA level.

Output
The value obtained for the mass density is 6.22 g/cm³.

Unit cell a=6.2992 b=6.2992 c=8.0111 alpha=90.00 beta=90.00 gamma=90.00
With the nearest neighbours (Å) after each atom.
Space group I4/mmm (No. 139)
Inequivalent atoms, fractional coordinates:
1 Sr 0.0000 0.5000 0.2500  4 Cd 3.22
2 Cd 0.0000 0.0000 0.1671  1 Pt 2.67, 1 Cd 2.68
3 Pt 0.0000 0.0000 0.5000  2 Cd 2.67


<iii>
Below is a geometry-optimized Sr2Cd2Pt structure, with properties calculated at the PBE-GGA level.

Output
The value obtained for the mass density is 6.73 g/cm³.

Unit cell a=11.7482 b=4.3927 c=12.2625 alpha=90.00 beta=111.75 gamma=90.00
With the nearest neighbours (Å) after each atom.
Space group C2/m (No. 12)
Inequivalent atoms, fractional coordinates:
1 Sr 0.0058 0.0000 0.1643  3 Pt 3.24-3.51, 7 Cd 3.47-3.59
2 Sr 0.1935 0.0000 0.6310  2 Pt 3.17, 3 Cd 3.34-3.38
3 Cd 0.0278 0.5000 0.3901  1 Pt 2.83, 1 Cd 3.00
4 Cd 0.1778 0.5000 0.0514  3 Pt 2.84-2.94
5 Pt 0.1877 0.5000 0.8152  4 Cd 2.83-2.94, 2 Sr 3.17


Computed relative energies in units of eV/atom: <i> 0.225; <ii> 0.366; <iii> 0.000


<i>
Below is a geometry-optimized SrCd4Pt structure, with properties calculated at the PBE-GGA level.

Output
The value obtained for the mass density is 8.99 g/cm³.

Unit cell a=8.1497 b=8.1497 c=8.1497 alpha=90.00 beta=90.00 gamma=90.00
With the nearest neighbours (Å) after each atom.
Space group F-43m (No. 216)
Inequivalent atoms, fractional coordinates:
1 Sr 0.0000 0.0000 0.0000  12 Cd 3.38, 4 Pt 3.53
2 Cd 0.1238 0.1238 0.6238  6 Cd 2.85-2.91
3 Pt 0.2500 0.2500 0.2500  12 Cd 3.38, 4 Sr 3.53


<ii>
Below is a geometry-optimized SrCd4Pt structure, with properties calculated at the PBE-GGA level.

Output
The value obtained for the mass density is 8.27 g/cm³.

Unit cell a=8.9543 b=4.3103 c=7.6236 alpha=90.00 beta=90.00 gamma=90.00
With the nearest neighbours (Å) after each atom.
Space group Pmma (No. 51)
Inequivalent atoms, fractional coordinates:
1 Sr 0.2500 0.0000 0.0985  1 Pt 3.02
2 Cd 0.0000 0.0000 0.5000  2 Pt 2.72
3 Cd 0.0564 0.5000 0.8073  2 Pt 2.88, 3 Cd 3.11-3.22
4 Cd 0.2500 0.5000 0.4469  2 Pt 2.91, 6 Cd 3.13-3.25
5 Pt 0.2500 0.0000 0.7025  8 Cd 2.72-2.91, 1 Sr 3.02


Computed relative energies in units of eV/atom: <i> 0.192; <ii> 0.000


<i>
Below is a geometry-optimized Sr3Cd4Pt4 structure, with properties calculated at the PBE-GGA level.

Output
The value obtained for the mass density is 9.34 g/cm³.

Unit cell a=4.4736 b=7.9097 c=15.0087 alpha=90.00 beta=90.00 gamma=90.00
With the nearest neighbours (Å) after each atom.
Space group Immm (No. 71)
Inequivalent atoms, fractional coordinates:
1 Sr 0.0000 0.0000 0.0000  6 Pt 3.30-3.42
2 Sr 0.0000 0.5000 0.1227  6 Pt 3.20-3.25, 6 Cd 3.37-3.45
3 Cd 0.0000 0.3041 0.3280  4 Pt 2.78-2.90, 1 Cd 3.10
4 Pt 0.0000 0.0000 0.2200  6 Cd 2.81-2.90
5 Pt 0.0000 0.1730 0.5000  1 Pt 2.74, 2 Cd 2.78


<ii>
Below is a geometry-optimized Sr3Cd4Pt4 structure, with properties calculated at the PBE-GGA level.

Output
The value obtained for the mass density is 8.48 g/cm³.

Unit cell a=8.3626 b=8.3626 c=8.3626 alpha=90.00 beta=90.00 gamma=90.00
With the nearest neighbours (Å) after each atom.
Space group I-43m (No. 217)
Inequivalent atoms, fractional coordinates:
1 Sr 0.0000 0.0000 0.5000  4 Pt 3.43, 4 Cd 3.45
2 Cd 0.1305 0.1305 0.8695  4 Pt 2.61-2.76
3 Pt 0.1892 0.1892 0.1892  4 Cd 2.61-2.76


Computed relative energies in units of eV/atom: <i> 0.000; <ii> 0.182


<i>
Below is a geometry-optimized Sr2TlCdPt structure, with properties calculated at the PBE-GGA level.

Output
The value obtained for the mass density is 6.40 g/cm³.

Unit cell a=5.8249 b=5.8249 c=5.2581 alpha=90.00 beta=90.00 gamma=90.00
With the nearest neighbours (Å) after each atom.
Space group P4/mmm (No. 123)
Inequivalent atoms, fractional coordinates:
1 Sr 0.0000 0.5000 0.0000  2 Pt 2.91
2 Tl 0.0000 0.0000 0.5000  8 Sr 3.92, 4 Cd 4.12
3 Cd 0.5000 0.5000 0.5000  2 Pt 2.63
4 Pt 0.5000 0.5000 0.0000  2 Cd 2.63, 4 Sr 2.91


<ii>
Below is a geometry-optimized Sr2TlCdPt structure, with properties calculated at the PBE-GGA level.

Output
The value obtained for the mass density is 6.30 g/cm³.

Unit cell a=5.8673 b=5.8673 c=5.2586 alpha=90.00 beta=90.00 gamma=90.00
With the nearest neighbours (Å) after each atom.
Space group P4/mmm (No. 123)
Inequivalent atoms, fractional coordinates:
1 Sr 0.0000 0.5000 0.0000  2 Pt 2.93
2 Tl 0.0000 0.0000 0.5000  2 Pt 2.63
3 Cd 0.5000 0.5000 0.5000  8 Sr 3.94, 4 Tl 4.15
4 Pt 0.0000 0.0000 0.0000  2 Tl 2.63, 4 Sr 2.93


Computed relative energies in units of eV/atom: <i> 0.000; <ii> 0.020